No. 1
{
  "formula": "LaTmGa3",
  "functional": "GGA-PBE",
  "state": "relaxed",
  "vol_a3_per_fu": 118.5,
  "n_ef_per_ev_atom": 0.557,
  "e_tot_ev_per_atom": -4.359,
  "lattice_angstrom": [[4.227, 0.000, 0.000], [0.000, 4.365, 0.000], [0.000, -2.182, 12.847]],
  "species": ["Ga", "Ga", "Ga", "Ga", "Ga", "Ga", "La", "La", "Tm", "Tm"],
  "frac_coords": [[0.250, 0.680, 0.359], [0.250, 0.377, 0.754], [0.750, 0.320, 0.641], [0.750, 0.525, 0.049], [0.750, 0.623, 0.246], [0.250, 0.475, 0.951], [0.250, 0.075, 0.151], [0.750, 0.925, 0.849], [0.250, 0.796, 0.592], [0.750, 0.204, 0.408]]
}

No. 2
{
  "formula": "LaTm2Ga2",
  "functional": "GGA-PBE",
  "state": "relaxed",
  "vol_a3_per_fu": 135.9,
  "n_ef_per_ev_atom": 0.795,
  "e_tot_ev_per_atom": -4.374,
  "lattice_angstrom": [[-1.924, 2.590, 3.013], [-4.679, -0.522, -2.539], [-1.608, -9.162, 6.848]],
  "species": ["Ga", "Ga", "Ga", "Ga", "Tm", "Tm", "Tm", "Tm", "La", "La"],
  "frac_coords": [[0.750, 0.639, 0.025], [0.750, 0.224, 0.357], [0.250, 0.776, 0.643], [0.250, 0.361, 0.975], [0.750, 0.744, 0.483], [0.750, 0.148, 0.110], [0.250, 0.256, 0.517], [0.250, 0.852, 0.890], [0.250, 0.677, 0.243], [0.750, 0.323, 0.757]]
}

No. 3
{
  "formula": "LaTmGa",
  "functional": "GGA-PBE",
  "state": "relaxed",
  "vol_a3_per_fu": 91.7,
  "n_ef_per_ev_atom": 1.604,
  "e_tot_ev_per_atom": -4.383,
  "lattice_angstrom": [[-0.384, -1.963, 4.651], [4.176, -1.270, 2.564], [1.427, 2.723, 4.022]],
  "species": ["Tm", "Ga", "La"],
  "frac_coords": [[0.000, 0.000, 0.000], [0.250, 0.250, 0.250], [0.500, 0.500, 0.500]]
}

No. 4
{
  "formula": "LaTm2Ga4",
  "functional": "GGA-PBE",
  "state": "relaxed",
  "vol_a3_per_fu": 164.8,
  "n_ef_per_ev_atom": 0.578,
  "e_tot_ev_per_atom": -4.359,
  "lattice_angstrom": [[-3.185, -1.656, -2.119], [-1.253, -2.147, 3.561], [-3.032, 8.938, 1.674]],
  "species": ["Ga", "Ga", "Ga", "Ga", "La", "Tm", "Tm"],
  "frac_coords": [[0.931, 0.431, 0.861], [0.069, 0.569, 0.139], [0.350, 0.350, 0.699], [0.650, 0.650, 0.301], [0.500, 0.000, 0.000], [0.815, 0.815, 0.629], [0.185, 0.185, 0.371]]
}

No. 5
{
  "formula": "La3Tm4Ga4",
  "functional": "GGA-PBE",
  "state": "relaxed",
  "vol_a3_per_fu": 302.5,
  "n_ef_per_ev_atom": 0.707,
  "e_tot_ev_per_atom": -4.489,
  "lattice_angstrom": [[-1.682, -4.483, -0.305], [6.238, -2.056, -4.177], [1.648, 1.334, 9.056]],
  "species": ["Ga", "Ga", "Ga", "Ga", "Tm", "Tm", "Tm", "Tm", "La", "La", "La"],
  "frac_coords": [[0.209, 0.709, 0.418], [0.500, 0.822, 0.000], [0.500, 0.178, 0.000], [0.791, 0.291, 0.582], [0.672, 0.881, 0.344], [0.672, 0.463, 0.344], [0.328, 0.119, 0.656], [0.328, 0.537, 0.656], [0.000, 0.500, 0.000], [0.109, 0.109, 0.218], [0.891, 0.891, 0.782]]
}

No. 6
{
  "formula": "LaTmGa2",
  "functional": "GGA-PBE",
  "state": "relaxed",
  "vol_a3_per_fu": 96.8,
  "n_ef_per_ev_atom": 0.588,
  "e_tot_ev_per_atom": -4.447,
  "lattice_angstrom": [[3.636, 0.000, 0.000], [0.000, 3.636, 0.000], [0.000, 0.000, 7.322]],
  "species": ["Ga", "Ga", "Tm", "La"],
  "frac_coords": [[0.000, 0.000, 0.777], [0.000, 0.000, 0.223], [0.500, 0.500, 0.000], [0.500, 0.500, 0.500]]
}

No. 7
{
  "formula": "LaTmGa",
  "functional": "GGA-PBE",
  "state": "relaxed",
  "vol_a3_per_fu": 93.9,
  "n_ef_per_ev_atom": 1.510,
  "e_tot_ev_per_atom": -4.313,
  "lattice_angstrom": [[5.596, 0.000, 0.000], [0.000, 3.797, 0.000], [0.000, 0.000, 8.838]],
  "species": ["Ga", "Ga", "La", "La", "Tm", "Tm"],
  "frac_coords": [[0.000, 0.546, 0.750], [0.000, 0.454, 0.250], [0.500, 0.743, 0.250], [0.500, 0.257, 0.750], [0.000, 0.000, 0.000], [0.000, 0.000, 0.500]]
}

No. 8
{
  "formula": "LaTm2Ga6",
  "functional": "GGA-PBE",
  "state": "relaxed",
  "vol_a3_per_fu": 203.1,
  "n_ef_per_ev_atom": 0.409,
  "e_tot_ev_per_atom": -4.065,
  "lattice_angstrom": [[-1.759, -1.260, -3.770], [5.614, -3.609, -3.919], [0.886, -7.681, -0.353]],
  "species": ["Ga", "Ga", "Ga", "Ga", "Ga", "Ga", "Tm", "Tm", "La"],
  "frac_coords": [[0.500, 0.678, 0.322], [0.687, 0.012, 0.614], [0.313, 0.386, 0.988], [0.313, 0.988, 0.386], [0.687, 0.614, 0.012], [0.500, 0.322, 0.678], [0.126, 0.374, 0.374], [0.874, 0.626, 0.626], [0.000, 0.000, 0.000]]
}

No. 9
{
  "formula": "La2Tm3Ga4",
  "functional": "GGA-PBE",
  "state": "relaxed",
  "vol_a3_per_fu": 236.3,
  "n_ef_per_ev_atom": 0.806,
  "e_tot_ev_per_atom": -4.378,
  "lattice_angstrom": [[6.869, 0.000, 0.000], [0.000, 8.547, 0.000], [-3.434, 0.000, 8.049]],
  "species": ["Ga", "Ga", "Ga", "Ga", "Ga", "Ga", "Ga", "Ga", "Tm", "Tm", "Tm", "Tm", "Tm", "Tm", "La", "La", "La", "La"],
  "frac_coords": [[0.788, 0.250, 0.075], [0.816, 0.041, 0.632], [0.712, 0.750, 0.925], [0.184, 0.959, 0.368], [0.684, 0.541, 0.368], [0.288, 0.250, 0.075], [0.212, 0.750, 0.925], [0.316, 0.459, 0.632], [0.500, 0.500, 0.000], [0.533, 0.750, 0.567], [0.967, 0.250, 0.433], [0.000, 0.000, 0.000], [0.467, 0.250, 0.433], [0.033, 0.750, 0.567], [0.108, 0.578, 0.215], [0.892, 0.422, 0.785], [0.392, 0.078, 0.785], [0.608, 0.922, 0.215]]
}

No. 10
{
  "formula": "LaTmGa2",
  "functional": "GGA-PBE",
  "state": "relaxed",
  "vol_a3_per_fu": 106.4,
  "n_ef_per_ev_atom": 0.667,
  "e_tot_ev_per_atom": -4.226,
  "lattice_angstrom": [[-3.416, -1.195, -0.787], [-0.982, -0.614, -3.517], [1.341, -9.086, -0.738]],
  "species": ["Ga", "Ga", "La", "Tm"],
  "frac_coords": [[0.255, 0.255, 0.235], [0.745, 0.745, 0.765], [0.500, 0.500, 0.500], [0.000, 0.000, 0.000]]
}

No. 11
{
  "formula": "La2TmGa2",
  "functional": "GGA-PBE",
  "state": "relaxed",
  "vol_a3_per_fu": 138.4,
  "n_ef_per_ev_atom": 1.058,
  "e_tot_ev_per_atom": -4.549,
  "lattice_angstrom": [[-4.640, 0.203, -1.124], [-3.597, -1.923, 4.344], [-2.879, 4.551, 2.549]],
  "species": ["Ga", "Ga", "La", "La", "Tm"],
  "frac_coords": [[0.500, 0.289, 0.711], [0.500, 0.711, 0.289], [0.806, 0.694, 0.694], [0.194, 0.306, 0.306], [0.000, 0.000, 0.000]]
}

No. 12
{
  "formula": "LaTmGa",
  "functional": "GGA-PBE",
  "state": "relaxed",
  "vol_a3_per_fu": 85.4,
  "n_ef_per_ev_atom": 1.388,
  "e_tot_ev_per_atom": -4.422,
  "lattice_angstrom": [[-0.207, 3.891, 0.782], [-2.561, 0.711, -4.213], [-2.413, -0.982, 4.245]],
  "species": ["Ga", "Tm", "La"],
  "frac_coords": [[0.220, 0.333, 0.667], [0.127, 0.000, 0.000], [0.653, 0.667, 0.333]]
}